Record 1
VASP calculation (PBE) on an optimized crystal structure of Ac3La3Ga2Hg.

a b c (Å): 4.6864 8.5985 8.5985
angles (deg): 120.00 90.00 90.00
Element x y z (fractional)
1 Ac 0.5000 0.0000 0.7238
2 Ac 0.5000 0.7238 0.0000
3 Ac 0.5000 0.2762 0.2762
4 Hg 0.0000 0.0000 0.0000
5 Ga 0.5000 0.6667 0.3333
6 Ga 0.5000 0.3333 0.6667
7 La 0.0000 0.5890 0.5890
8 La 0.0000 0.0000 0.4110
9 La 0.0000 0.4110 0.0000

The value obtained for the formation energy is -318 meV per atom. Its total magnetization is 0.00 μB/f.u. The electronic total energy comes out at -4.04 eV per atom. The density is 7.96 Mg/m³.

Record 2
VASP calculation (PBE) on an optimized crystal structure of LiAcGaHg.

a b c (Å): 5.2969 5.2969 5.2969
angles (deg): 60.00 60.00 60.00
Element x y z (fractional)
1 Ac 0.7500 0.7500 0.7500
2 Li 0.2500 0.2500 0.2500
3 Hg 0.5000 0.5000 0.5000
4 Ga 0.0000 0.0000 0.0000

The value obtained for the formation energy is -377 meV per atom. Its total magnetization is 0.00 μB/f.u. The electronic total energy comes out at -2.72 eV per atom. The density is 7.97 Mg/m³.

Record 3
VASP calculation (PBE) on an optimized crystal structure of Li2AcGaHg4.

a b c (Å): 4.7243 4.7243 10.2194
angles (deg): 76.64 76.64 60.00
Element x y z (fractional)
1 Hg 0.3982 0.3982 0.8054
2 Hg 0.1225 0.1225 0.6324
3 Hg 0.8775 0.8775 0.3676
4 Hg 0.6018 0.6018 0.1946
5 Ga 0.5000 0.5000 0.5000
6 Ac 0.0000 0.0000 0.0000
7 Li 0.2263 0.2263 0.3211
8 Li 0.7737 0.7737 0.6789

The value obtained for the formation energy is -338 meV per atom. Its total magnetization is 0.00 μB/f.u. The electronic total energy comes out at -1.86 eV per atom. The density is 9.71 Mg/m³.

Record 4
VASP calculation (PBE) on an optimized crystal structure of LiAc2Ga3Hg4.

a b c (Å): 4.6693 4.6693 11.2280
angles (deg): 90.00 90.00 90.00
Element x y z (fractional)
1 Ac 0.0000 0.5000 0.7562
2 Ac 0.5000 0.0000 0.2438
3 Hg 0.0000 0.0000 0.0000
4 Hg 0.0000 0.5000 0.3774
5 Hg 0.5000 0.5000 0.0000
6 Hg 0.5000 0.0000 0.6226
7 Ga 0.5000 0.0000 0.8596
8 Ga 0.0000 0.5000 0.1404
9 Ga 0.0000 0.0000 0.5000
10 Li 0.5000 0.5000 0.5000

The value obtained for the formation energy is -409 meV per atom. Its total magnetization is 0.00 μB/f.u. The electronic total energy comes out at -2.45 eV per atom. The density is 9.99 Mg/m³.

Record 5
VASP calculation (PBE) on an optimized crystal structure of AcMg2GaHg2.

a b c (Å): 5.3504 5.3504 7.1141
angles (deg): 112.09 112.09 90.00
Element x y z (fractional)
1 Mg 0.7500 0.2500 0.5000
2 Mg 0.2500 0.7500 0.5000
3 Ac 0.5000 0.5000 0.0000
4 Ga 0.0000 0.0000 0.0000
5 Hg 0.2128 0.2128 0.4257
6 Hg 0.7872 0.7872 0.5743

The value obtained for the formation energy is -79 meV per atom. Its total magnetization is 0.00 μB/f.u. The electronic total energy comes out at -1.90 eV per atom. The density is 7.19 Mg/m³.

Record 6
VASP calculation (PBE) on an optimized crystal structure of AcMgGaHg.

a b c (Å): 5.3207 5.3207 5.3207
angles (deg): 60.00 60.00 60.00
Element x y z (fractional)
1 Mg 0.7500 0.7500 0.7500
2 Hg 0.0000 0.0000 0.0000
3 Ac 0.2500 0.2500 0.2500
4 Ga 0.5000 0.5000 0.5000

The value obtained for the formation energy is -405 meV per atom. Its total magnetization is 0.00 μB/f.u. The electronic total energy comes out at -2.66 eV per atom. The density is 8.13 Mg/m³.

Record 7
VASP calculation (PBE) on an optimized crystal structure of AcMgGaHg2.

a b c (Å): 4.5718 4.5718 6.9390
angles (deg): 109.23 109.23 90.00
Element x y z (fractional)
1 Ga 0.2500 0.7500 0.5000
2 Hg 0.6179 0.6179 0.2358
3 Hg 0.3821 0.3821 0.7642
4 Ac 0.0000 0.0000 0.0000
5 Mg 0.7500 0.2500 0.5000

The value obtained for the formation energy is -382 meV per atom. Its total magnetization is 0.00 μB/f.u. The electronic total energy comes out at -2.25 eV per atom. The density is 9.34 Mg/m³.

Record 8
VASP calculation (PBE) on an optimized crystal structure of AcMg2GaHg4.

a b c (Å): 4.8884 4.8884 10.0596
angles (deg): 75.94 75.94 60.00
Element x y z (fractional)
1 Hg 0.1268 0.1268 0.6195
2 Hg 0.8732 0.8732 0.3805
3 Hg 0.3950 0.3950 0.8149
4 Hg 0.6050 0.6050 0.1851
5 Mg 0.2363 0.2363 0.2910
6 Mg 0.7637 0.7637 0.7090
7 Ac 0.0000 0.0000 0.0000
8 Ga 0.5000 0.5000 0.5000

The value obtained for the formation energy is -275 meV per atom. Its total magnetization is 0.00 μB/f.u. The electronic total energy comes out at -1.72 eV per atom. The density is 9.54 Mg/m³.